Entry 1:
{"formula": "TbNdGe2Pd4", "functional": "PBE-GGA", "state": "relaxed", "lattice_angstrom": [[4.426, 0.000, 0.000], [-2.213, 3.833, 0.000], [0.000, 0.000, 9.200]], "species": ["Tb", "Nd", "Ge", "Ge", "Pd", "Pd", "Pd", "Pd"], "fractional_positions": [[0.000, 0.000, 0.000], [0.333, 0.667, 0.500], [0.667, 0.333, 0.243], [0.667, 0.333, 0.757], [0.000, 0.000, 0.324], [0.000, 0.000, 0.676], [0.333, 0.667, 0.166], [0.333, 0.667, 0.834]], "magmom_total_mub_per_fu": 0.00, "total_energy_ev_per_atom": -5.73}


Entry 2:
{"formula": "TbNdGe4Pd2", "functional": "PBE-GGA", "state": "relaxed", "lattice_angstrom": [[4.407, 0.000, 0.000], [0.000, 4.239, 0.000], [0.000, 0.000, 17.500]], "species": ["Tb", "Tb", "Nd", "Nd", "Ge", "Ge", "Ge", "Ge", "Ge", "Ge", "Ge", "Ge", "Pd", "Pd", "Pd", "Pd"], "fractional_positions": [[0.000, 0.000, 0.000], [0.000, 0.500, 0.500], [0.500, 0.000, 0.214], [0.500, 0.500, 0.714], [0.000, 0.000, 0.361], [0.000, 0.000, 0.641], [0.000, 0.500, 0.141], [0.000, 0.500, 0.861], [0.500, 0.000, 0.572], [0.500, 0.000, 0.855], [0.500, 0.500, 0.072], [0.500, 0.500, 0.355], [0.000, 0.000, 0.781], [0.000, 0.500, 0.281], [0.500, 0.000, 0.433], [0.500, 0.500, 0.933]], "magmom_total_mub_per_fu": 0.00, "total_energy_ev_per_atom": -5.54}


Entry 3:
{"formula": "NdTm2Ge4Pd4", "functional": "PBE-GGA", "state": "relaxed", "lattice_angstrom": [[-2.076, 3.585, 6.996], [2.076, -3.585, 6.996], [2.076, 3.585, -6.996]], "species": ["Nd", "Tm", "Tm", "Ge", "Ge", "Ge", "Ge", "Pd", "Pd", "Pd", "Pd"], "fractional_positions": [[0.000, 0.000, 0.000], [0.374, 0.874, 0.500], [0.626, 0.126, 0.500], [0.220, 0.220, 0.000], [0.316, 0.500, 0.816], [0.684, 0.500, 0.184], [0.780, 0.780, 0.000], [0.026, 0.324, 0.702], [0.378, 0.676, 0.702], [0.622, 0.324, 0.298], [0.974, 0.676, 0.298]], "magmom_total_mub_per_fu": 0.00, "total_energy_ev_per_atom": -5.74}


Entry 4:
{"formula": "NdYGe4Pd2", "functional": "PBE-GGA", "state": "relaxed", "lattice_angstrom": [[4.405, 0.000, 0.000], [0.000, 4.278, 0.000], [0.000, 0.000, 17.341]], "species": ["Nd", "Nd", "Y", "Y", "Ge", "Ge", "Ge", "Ge", "Ge", "Ge", "Ge", "Ge", "Pd", "Pd", "Pd", "Pd"], "fractional_positions": [[0.000, 0.000, 0.000], [0.000, 0.500, 0.500], [0.500, 0.000, 0.787], [0.500, 0.500, 0.287], [0.000, 0.000, 0.359], [0.000, 0.000, 0.643], [0.000, 0.500, 0.143], [0.000, 0.500, 0.859], [0.500, 0.000, 0.146], [0.500, 0.000, 0.428], [0.500, 0.500, 0.646], [0.500, 0.500, 0.928], [0.000, 0.000, 0.219], [0.000, 0.500, 0.719], [0.500, 0.000, 0.569], [0.500, 0.500, 0.069]], "magmom_total_mub_per_fu": 0.01, "total_energy_ev_per_atom": -5.76}


Entry 5:
{"formula": "NdYGe2Pd4", "functional": "PBE-GGA", "state": "relaxed", "lattice_angstrom": [[4.422, 0.000, 0.000], [-2.211, 3.830, 0.000], [0.000, 0.000, 9.213]], "species": ["Nd", "Y", "Ge", "Ge", "Pd", "Pd", "Pd", "Pd"], "fractional_positions": [[0.000, 0.000, 0.000], [0.667, 0.333, 0.500], [0.333, 0.667, 0.257], [0.333, 0.667, 0.743], [0.000, 0.000, 0.333], [0.000, 0.000, 0.667], [0.667, 0.333, 0.176], [0.667, 0.333, 0.824]], "magmom_total_mub_per_fu": 0.01, "total_energy_ev_per_atom": -5.96}


Entry 6:
{"formula": "PrNd2Ge7", "functional": "PBE-GGA", "state": "relaxed", "lattice_angstrom": [[2.096, -12.426, 0.000], [2.096, 12.426, 0.000], [0.000, 0.000, 4.320]], "species": ["Pr", "Nd", "Nd", "Ge", "Ge", "Ge", "Ge", "Ge", "Ge", "Ge"], "fractional_positions": [[0.000, 0.000, 0.000], [0.182, 0.818, 0.000], [0.818, 0.182, 0.000], [0.093, 0.907, 0.500], [0.283, 0.717, 0.500], [0.407, 0.593, 0.000], [0.500, 0.500, 0.500], [0.593, 0.407, 0.000], [0.717, 0.283, 0.500], [0.907, 0.093, 0.500]], "magmom_total_mub_per_fu": 0.00, "total_energy_ev_per_atom": -5.19}